--- A ---
Below is a crystal of AlInSi relaxed with PBEsol, with properties calculated at the meta-GGA SCAN level.

## Properties
Total magnetic moment: 0.00 μB per formula unit
D(E_F): 0.77 states/eV/cell

abc: 4.5755 4.5755 4.5755
angles: 60.00 60.00 60.00
With the nearest neighbours (Å) after each atom.
Fractional coordinates of all 3 atoms:
Al (0.0000, 0.0000, 0.0000)  4 In 2.80
In (0.2500, 0.2500, 0.2500)  4 Al 2.80, 4 Si 2.80
Si (0.5000, 0.5000, 0.5000)  4 In 2.80

---

--- B ---
Below is a crystal of AlInSi relaxed with PBEsol, with properties calculated at the meta-GGA SCAN level.

## Properties
Total magnetic moment: 0.00 μB per formula unit
D(E_F): 0.78 states/eV/cell

abc: 4.4922 4.4922 4.4922
angles: 60.00 60.00 60.00
With the nearest neighbours (Å) after each atom.
Fractional coordinates of all 3 atoms:
Al (0.0000, 0.0000, 0.0000)  4 In 2.75, 4 Si 2.75
In (0.7500, 0.7500, 0.7500)  4 Al 2.75
Si (0.2500, 0.2500, 0.2500)  4 Al 2.75

---

Of them, B has the highest stability.

---

--- A ---
Below is a crystal of Tl2AgAu relaxed with PBEsol, with properties calculated at the meta-GGA SCAN level.

## Properties
Total magnetic moment: 0.00 μB per formula unit
D(E_F): 1.35 states/eV/cell

abc: 4.9781 4.9781 4.9781
angles: 60.00 60.00 60.00
With the nearest neighbours (Å) after each atom.
Fractional coordinates of all 4 atoms:
Tl (0.0000, 0.0000, 0.0000)  4 Tl 3.05, 4 Au 3.05
Tl (0.2500, 0.2500, 0.2500)  4 Ag 3.05, 4 Tl 3.05
Ag (0.5000, 0.5000, 0.5000)  4 Au 3.05, 4 Tl 3.05
Au (0.7500, 0.7500, 0.7500)  4 Ag 3.05, 4 Tl 3.05

---

--- B ---
Below is a crystal of Tl2AgAu relaxed with PBEsol, with properties calculated at the meta-GGA SCAN level.

## Properties
Total magnetic moment: 0.00 μB per formula unit
D(E_F): 1.21 states/eV/cell

abc: 3.7159 4.3875 5.7058
angles: 90.00 108.26 90.00
With the nearest neighbours (Å) after each atom.
Fractional coordinates of all 4 atoms:
Tl (0.0000, 0.0000, 0.0000)  3 Au 2.93-3.12, 4 Ag 2.97
Tl (0.2998, 0.5000, 0.6055)  3 Ag 2.89-3.15, 4 Au 2.98
Ag (0.5678, 0.5000, 0.1397)  2 Au 2.79, 6 Tl 2.89-3.12
Au (0.7285, 0.0000, 0.4584)  2 Ag 2.79, 7 Tl 2.93-3.12

---

Of them, B has the highest stability.

---

--- A ---
Below is a crystal of InHgW2 relaxed with PBEsol, with properties calculated at the meta-GGA SCAN level.

## Properties
Total magnetic moment: 0.00 μB per formula unit
D(E_F): 2.22 states/eV/cell

abc: 4.9298 4.9298 2.8803
angles: 90.00 90.00 90.00
With the nearest neighbours (Å) after each atom.
Fractional coordinates of all 4 atoms:
In (0.0000, 0.0000, 0.0000)  8 W 2.85, 2 In 2.88
Hg (0.5000, 0.5000, 0.0000)  8 W 2.85, 2 Hg 2.88
W (0.0000, 0.5000, 0.5000)  4 Hg 2.85, 4 In 2.85, 2 W 2.88
W (0.5000, 0.0000, 0.5000)  4 Hg 2.85, 4 In 2.85, 2 W 2.88

---

--- B ---
Below is a crystal of InHgW2 relaxed with PBEsol, with properties calculated at the meta-GGA SCAN level.

## Properties
Total magnetic moment: 0.00 μB per formula unit
D(E_F): 3.02 states/eV/cell

abc: 3.1742 3.1742 7.4385
angles: 90.00 90.00 90.00
With the nearest neighbours (Å) after each atom.
Fractional coordinates of all 4 atoms:
In (0.0000, 0.0000, 0.0000)  5 W 2.95-3.25, 4 Hg 3.16, 4 In 3.17
Hg (0.5000, 0.5000, 0.7019)  5 W 2.99-3.31, 4 In 3.16, 4 Hg 3.17
W (0.0000, 0.0000, 0.4367)  4 W 2.61
W (0.5000, 0.5000, 0.2569)  4 W 2.61

---

Of them, B has the highest stability.

---

--- A ---
Below is a crystal of Ca2Mg2Zn relaxed with PBEsol, with properties calculated at the meta-GGA SCAN level.

## Properties
Total magnetic moment: 0.00 μB per formula unit
D(E_F): 3.02 states/eV/cell

abc: 4.8741 4.8741 7.4242
angles: 90.00 90.00 120.00
With the nearest neighbours (Å) after each atom.
Fractional coordinates of all 5 atoms:
Ca (0.3333, 0.6667, 0.1513)  3 Zn 3.03, 3 Mg 3.32
Ca (0.6667, 0.3333, 0.8487)  3 Zn 3.03, 3 Mg 3.32
Mg (0.3333, 0.6667, 0.6122)  3 Mg 3.27, 4 Ca 3.32-3.42
Mg (0.6667, 0.3333, 0.3878)  3 Mg 3.27, 4 Ca 3.32-3.42
Zn (0.0000, 0.0000, 0.0000)  6 Ca 3.03

---

--- B ---
Below is a crystal of Ca2Mg2Zn relaxed with PBEsol, with properties calculated at the meta-GGA SCAN level.

## Properties
Total magnetic moment: 0.00 μB per formula unit
D(E_F): 6.38 states/eV/cell

abc: 8.1742 8.1742 6.3978
angles: 90.00 90.00 142.16
With the nearest neighbours (Å) after each atom.
Fractional coordinates of all 10 atoms:
Ca (0.0762, 0.9238, 0.5000)  2 Zn 3.08-3.29, 2 Mg 3.31
Ca (0.3197, 0.6803, 0.3106)  3 Zn 3.11-3.33, 6 Mg 3.15-3.38
Ca (0.6803, 0.3197, 0.8106)  3 Zn 3.11-3.33, 6 Mg 3.15-3.38
Ca (0.9238, 0.0762, 0.0000)  2 Zn 3.08-3.29, 2 Mg 3.31
Mg (0.2901, 0.7099, 0.8035)  1 Zn 2.83, 1 Mg 2.90, 2 Ca 3.15
Mg (0.4696, 0.5304, 0.6712)  1 Mg 2.90, 2 Zn 3.22
Mg (0.5304, 0.4696, 0.1712)  1 Mg 2.90, 2 Zn 3.22
Mg (0.7099, 0.2901, 0.3035)  1 Zn 2.83, 1 Mg 2.90, 2 Ca 3.15
Zn (0.1358, 0.8642, 0.0412)  1 Mg 2.83, 3 Ca 3.08-3.11
Zn (0.8642, 0.1358, 0.5412)  1 Mg 2.83, 3 Ca 3.08-3.11

---

Of them, B has the highest stability.

---

--- A ---
Below is a crystal of TlAu2 relaxed with PBEsol, with properties calculated at the meta-GGA SCAN level.

## Properties
Total magnetic moment: 0.00 μB per formula unit
D(E_F): 5.80 states/eV/cell

abc: 5.5468 5.5468 9.2836
angles: 90.00 90.00 120.00
With the nearest neighbours (Å) after each atom.
Fractional coordinates of all 12 atoms:
Tl (0.3333, 0.6667, 0.0628)  12 Au 3.26-3.31, 4 Tl 3.41-3.48
Tl (0.3333, 0.6667, 0.4372)  12 Au 3.26-3.31, 4 Tl 3.41-3.48
Tl (0.6667, 0.3333, 0.5628)  12 Au 3.26-3.31, 4 Tl 3.41-3.48
Tl (0.6667, 0.3333, 0.9372)  12 Au 3.26-3.31, 4 Tl 3.41-3.48
Au (0.0000, 0.0000, 0.0000)  6 Au 2.83
Au (0.0000, 0.0000, 0.5000)  6 Au 2.83
Au (0.1688, 0.3375, 0.7500)  6 Au 2.74-2.83
Au (0.1688, 0.8312, 0.7500)  6 Au 2.74-2.83
Au (0.3375, 0.1688, 0.2500)  6 Au 2.74-2.83
Au (0.6625, 0.8312, 0.7500)  6 Au 2.74-2.83
Au (0.8312, 0.1688, 0.2500)  6 Au 2.74-2.83
Au (0.8312, 0.6625, 0.2500)  6 Au 2.74-2.83

---

--- B ---
Below is a crystal of TlAu2 relaxed with PBEsol, with properties calculated at the meta-GGA SCAN level.

## Properties
Total magnetic moment: 0.00 μB per formula unit
D(E_F): 1.96 states/eV/cell

abc: 5.7320 5.7320 7.4044
angles: 109.56 109.56 31.53
With the nearest neighbours (Å) after each atom.
Fractional coordinates of all 6 atoms:
Tl (0.1581, 0.1581, 0.1243)  8 Au 2.93-3.20, 2 Tl 3.11
Tl (0.8419, 0.8419, 0.8757)  8 Au 2.93-3.20, 2 Tl 3.11
Au (0.1461, 0.1461, 0.5129)  8 Au 2.82-3.11, 1 Tl 2.93
Au (0.4464, 0.4464, 0.2444)  6 Au 2.82-3.11, 3 Tl 2.99-3.00
Au (0.5536, 0.5536, 0.7556)  6 Au 2.82-3.11, 3 Tl 2.99-3.00
Au (0.8539, 0.8539, 0.4871)  8 Au 2.82-3.11, 1 Tl 2.93

---

Of them, A has the highest stability.

---

--- A ---
Below is a crystal of K2ScPt relaxed with PBEsol, with properties calculated at the meta-GGA SCAN level.

## Properties
Total magnetic moment: 0.00 μB per formula unit
D(E_F): 2.63 states/eV/cell

abc: 10.4687 10.4687 10.4687
angles: 160.65 158.26 29.26
With the nearest neighbours (Å) after each atom.
Fractional coordinates of all 4 atoms:
K (0.1504, 0.1504, 0.0000)  2 Pt 3.52, 2 K 3.52, 2 Sc 3.63
K (0.8496, 0.8496, 0.0000)  2 Pt 3.52, 2 K 3.52, 2 Sc 3.63
Sc (0.5000, 0.0000, 0.5000)  4 Pt 2.64
Pt (0.0000, 0.5000, 0.5000)  4 Sc 2.64

---

--- B ---
Below is a crystal of K2ScPt relaxed with PBEsol, with properties calculated at the meta-GGA SCAN level.

## Properties
Total magnetic moment: 0.00 μB per formula unit
D(E_F): 2.68 states/eV/cell

abc: 12.1065 12.1065 12.1065
angles: 15.04 15.04 15.04
With the nearest neighbours (Å) after each atom.
Fractional coordinates of all 4 atoms:
K (0.2362, 0.2362, 0.2362)  3 Pt 3.10, 6 K 3.17
K (0.7638, 0.7638, 0.7638)  3 Pt 3.10, 6 K 3.17
Sc (0.0000, 0.0000, 0.0000)  6 Sc 3.17
Pt (0.5000, 0.5000, 0.5000)  6 K 3.10, 6 Pt 3.17

---

Of them, A has the highest stability.

---

--- A ---
Below is a crystal of AlSbSe2 relaxed with PBEsol, with properties calculated at the meta-GGA SCAN level.

## Properties
Total magnetic moment: 0.00 μB per formula unit
D(E_F): 1.64 states/eV/cell

abc: 5.0417 5.0417 3.6806
angles: 90.00 90.00 109.90
With the nearest neighbours (Å) after each atom.
Fractional coordinates of all 4 atoms:
Al (0.0000, 0.0000, 0.0000)  4 Se 2.61, 2 Sb 2.90
Sb (0.5000, 0.5000, 0.0000)  2 Al 2.90, 4 Se 2.92
Se (0.2247, 0.7753, 0.5000)  2 Al 2.61, 2 Sb 2.92, 2 Se 2.93
Se (0.7753, 0.2247, 0.5000)  2 Al 2.61, 2 Sb 2.92, 2 Se 2.93

---

--- B ---
Below is a crystal of AlSbSe2 relaxed with PBEsol, with properties calculated at the meta-GGA SCAN level.

## Properties
Total magnetic moment: 0.00 μB per formula unit
D(E_F): 0.67 states/eV/cell

abc: 3.6196 3.6196 8.6758
angles: 101.86 101.86 59.92
With the nearest neighbours (Å) after each atom.
Fractional coordinates of all 4 atoms:
Al (0.0000, 0.0000, 0.0000)  6 Se 2.52
Sb (0.5000, 0.5000, 0.5000)  2 Se 2.80
Se (0.3882, 0.3882, 0.1679)  3 Al 2.52, 1 Sb 2.80
Se (0.6118, 0.6118, 0.8321)  3 Al 2.52, 1 Sb 2.80

---

Of them, B has the highest stability.

---

--- A ---
Below is a crystal of CaLa2Pd2 relaxed with PBEsol, with properties calculated at the meta-GGA SCAN level.

## Properties
Total magnetic moment: 0.00 μB per formula unit
D(E_F): 4.16 states/eV/cell

abc: 6.5697 6.5697 6.5697
angles: 132.36 132.36 69.67
With the nearest neighbours (Å) after each atom.
Fractional coordinates of all 5 atoms:
Ca (0.0000, 0.0000, 0.0000)  2 La 3.62, 8 Pd 3.78
La (0.3359, 0.3359, 0.0000)  4 Pd 2.81
La (0.6641, 0.6641, 0.0000)  4 Pd 2.81
Pd (0.2500, 0.7500, 0.5000)  4 La 2.81
Pd (0.7500, 0.2500, 0.5000)  4 La 2.81

---

--- B ---
Below is a crystal of CaLa2Pd2 relaxed with PBEsol, with properties calculated at the meta-GGA SCAN level.

## Properties
Total magnetic moment: 0.00 μB per formula unit
D(E_F): 4.01 states/eV/cell

abc: 6.9292 6.9292 6.9292
angles: 139.37 139.37 58.81
With the nearest neighbours (Å) after each atom.
Fractional coordinates of all 5 atoms:
Ca (0.0000, 0.0000, 0.0000)  8 Pd 3.64, 8 La 3.86
La (0.2500, 0.7500, 0.5000)  4 Pd 2.95
La (0.7500, 0.2500, 0.5000)  4 Pd 2.95
Pd (0.3918, 0.3918, 0.0000)  1 Pd 2.61
Pd (0.6082, 0.6082, 0.0000)  1 Pd 2.61

---

Of them, B has the highest stability.

---

--- A ---
Below is a crystal of Co2CuTc relaxed with PBEsol, with properties calculated at the meta-GGA SCAN level.

## Properties
Total magnetic moment: 3.26 μB per formula unit
D(E_F): 2.91 states/eV/cell

abc: 2.5226 3.6329 4.9853
angles: 90.00 90.00 90.00
With the nearest neighbours (Å) after each atom.
Fractional coordinates of all 4 atoms:
Co (0.0000, 0.0000, 0.0000)  2 Cu 2.44-2.55, 4 Tc 2.50, 6 Co 2.52-2.55
Co (0.5000, 0.5000, 0.2550)  2 Tc 2.43-2.56, 4 Cu 2.50, 6 Co 2.52-2.55
Cu (0.0000, 0.0000, 0.4893)  6 Co 2.44-2.55, 2 Cu 2.52, 4 Tc 2.61
Tc (0.5000, 0.5000, 0.7682)  6 Co 2.43-2.56, 2 Tc 2.52, 4 Cu 2.61

---

--- B ---
Below is a crystal of Co2CuTc relaxed with PBEsol, with properties calculated at the meta-GGA SCAN level.

## Properties
Total magnetic moment: 3.27 μB per formula unit
D(E_F): 4.46 states/eV/cell

abc: 4.0174 4.0174 4.0174
angles: 60.00 60.00 60.00
With the nearest neighbours (Å) after each atom.
Fractional coordinates of all 4 atoms:
Co (0.0000, 0.0000, 0.0000)  4 Co 2.46, 4 Tc 2.46
Co (0.2500, 0.2500, 0.2500)  4 Co 2.46, 4 Cu 2.46
Cu (0.5000, 0.5000, 0.5000)  4 Tc 2.46, 4 Co 2.46
Tc (0.7500, 0.7500, 0.7500)  4 Co 2.46, 4 Cu 2.46

---

Of them, A has the highest stability.